VASP calculation (GGA-PBEsol) on crystalline ZrSb2P at its relaxed geometry.

The structure belongs to space group I4/mmm (No. 139); the cell edges are 4.1554, 4.1554 and 9.7871 Å and the angles 90.00°, 90.00° and 90.00°. The asymmetric unit holds Zr at (0.0000, 0.0000, 0.0000), Sb at (0.0000, 0.5000, 0.2500) and P at (0.0000, 0.0000, 0.5000).

The calculation puts the total energy at -0.226 hartree per atom. The value obtained for the formation energy (no corrections) is -0.158 eV/atom.



VASP calculation (GGA-PBEsol) on crystalline Zr2SbP at its relaxed geometry.

The structure belongs to space group Immm (No. 71); the cell edges are 3.8481, 5.2804 and 7.8118 Å and the angles 90.00°, 90.00° and 90.00°. The asymmetric unit holds Zr at (0.0000, 0.0000, 0.2143), Sb at (0.0000, 0.5000, 0.0000) and P at (0.0000, 0.5000, 0.5000).

The calculation puts the total energy at -0.292 hartree per atom. The value obtained for the formation energy (no corrections) is -0.802 eV/atom.



VASP calculation (GGA-PBEsol) on crystalline Zr2SbP at its relaxed geometry.

The structure belongs to space group P6_3/mmc (No. 194); the cell edges are 3.7883, 3.7883 and 13.2473 Å and the angles 90.00°, 90.00° and 120.00°. The asymmetric unit holds Zr at (0.3333, 0.6667, 0.1028), Sb at (0.3333, 0.6667, 0.7500) and P at (0.0000, 0.0000, 0.0000).

The calculation puts the total energy at -0.307 hartree per atom. The value obtained for the formation energy (no corrections) is -1.211 eV/atom.



VASP calculation (GGA-PBEsol) on crystalline Zr2SbP at its relaxed geometry.

The structure belongs to space group P2/m (No. 10); the cell edges are 3.4303, 3.6200 and 6.5611 Å and the angles 90.00°, 102.66° and 90.00°. The asymmetric unit holds Zr at (0.0979, 0.0000, 0.2710), Sb at (0.5000, 0.5000, 0.0000) and P at (0.5000, 0.5000, 0.5000).

The calculation puts the total energy at -0.291 hartree per atom. The value obtained for the formation energy (no corrections) is -0.800 eV/atom.



VASP calculation (GGA-PBEsol) on crystalline ZrSb2P at its relaxed geometry.

The structure belongs to space group P2/m (No. 10); the cell edges are 3.9080, 3.7276 and 5.9275 Å and the angles 90.00°, 100.68° and 90.00°. The asymmetric unit holds Zr at (0.0000, 0.0000, 0.0000), Sb at (0.4232, 0.5000, 0.7457) and P at (0.0000, 0.0000, 0.5000).

The calculation puts the total energy at -0.229 hartree per atom. The value obtained for the formation energy (no corrections) is -0.227 eV/atom.



VASP calculation (GGA-PBEsol) on crystalline Zr2SbP at its relaxed geometry.

The structure belongs to space group Fm-3m (No. 225); the cell edges are 6.7679, 6.7679 and 6.7679 Å and the angles 90.00°, 90.00° and 90.00°. The asymmetric unit holds Zr at (0.2500, 0.2500, 0.2500), Sb at (0.0000, 0.0000, 0.0000) and P at (0.0000, 0.0000, 0.5000).

The calculation puts the total energy at -0.287 hartree per atom. The value obtained for the formation energy (no corrections) is -0.686 eV/atom.



VASP calculation (GGA-PBEsol) on crystalline Zr2SbP at its relaxed geometry.

The structure belongs to space group Cm (No. 8); the cell edges are 9.9072, 3.5314 and 4.5959 Å and the angles 90.00°, 90.19° and 90.00°. The asymmetric unit holds Zr at (0.0000, 0.0000, 0.0000), Zr at (0.2494, 0.5000, 0.4978), Sb at (0.4717, 0.0000, 0.4999) and P at (0.2804, 0.0000, 0.9988).

The calculation puts the total energy at -0.290 hartree per atom. The value obtained for the formation energy (no corrections) is -0.769 eV/atom.



VASP calculation (GGA-PBEsol) on crystalline Zr2SbP at its relaxed geometry.

The structure belongs to space group Amm2 (No. 38); the cell edges are 4.8794, 3.6053 and 9.8324 Å and the angles 90.00°, 90.00° and 90.00°. The asymmetric unit holds Zr at (0.0000, 0.0000, 0.0000), Zr at (0.5000, 0.0000, 0.3018), Sb at (0.5000, 0.0000, 0.5815) and P at (0.0000, 0.0000, 0.2930).

The calculation puts the total energy at -0.290 hartree per atom. The value obtained for the formation energy (no corrections) is -0.762 eV/atom.



VASP calculation (GGA-PBEsol) on crystalline Sc2P at its relaxed geometry.

The structure belongs to space group Fd-3m (No. 227, origin choice 2); the cell edges are 7.6417, 7.6417 and 7.6417 Å and the angles 90.00°, 90.00° and 90.00°. The asymmetric unit holds Sc at (0.0000, 0.0000, 0.0000) and P at (0.1250, 0.1250, 0.6250).

The calculation puts the total energy at -0.229 hartree per atom. The formation energy comes out at 0.1094 eV/atom.



VASP calculation (GGA-PBEsol) on crystalline ScP2 at its relaxed geometry.

The structure belongs to space group P6_3/mmc (No. 194); the cell edges are 4.6475, 4.6475 and 5.1315 Å and the angles 90.00°, 90.00° and 120.00°. The asymmetric unit holds Sc at (0.3333, 0.6667, 0.2500), P at (0.0000, 0.0000, 0.0000) and P at (0.3333, 0.6667, 0.7500).

The calculation puts the total energy at -0.243 hartree per atom. The formation energy comes out at -0.5493 eV/atom.



VASP calculation (GGA-PBEsol) on crystalline ScP4 at its relaxed geometry.

The structure belongs to space group I4/mmm (No. 139); the cell edges are 3.3448, 3.3448 and 16.8828 Å and the angles 90.00°, 90.00° and 90.00°. The asymmetric unit holds Sc at (0.0000, 0.0000, 0.0000), P at (0.0000, 0.0000, 0.4338) and P at (0.0000, 0.5000, 0.2500).

The calculation puts the total energy at -0.225 hartree per atom. The formation energy comes out at -0.1648 eV/atom.



VASP calculation (GGA-PBEsol) on crystalline Sc4P at its relaxed geometry.

The structure belongs to space group I4/m (No. 87); the cell edges are 7.8547, 7.8547 and 3.3530 Å and the angles 90.00°, 90.00° and 90.00°. The asymmetric unit holds Sc at (0.0773, 0.7363, 0.0000) and P at (0.0000, 0.0000, 0.5000).

The calculation puts the total energy at -0.255 hartree per atom. The formation energy comes out at -0.5033 eV/atom.



VASP calculation (GGA-PBEsol) on crystalline Sc3P at its relaxed geometry.

The structure belongs to space group Pm-3m (No. 221); the cell edges are 4.9391, 4.9391 and 4.9391 Å and the angles 90.00°, 90.00° and 90.00°. The asymmetric unit holds Sc at (0.0000, 0.0000, 0.5000) and P at (0.0000, 0.0000, 0.0000).

The calculation puts the total energy at -0.235 hartree per atom. The value obtained for the relative energy among the computed polymorphs is 863 meV per atom. The formation energy comes out at 0.0164 eV/atom.



VASP calculation (GGA-PBEsol) on crystalline Sc2P at its relaxed geometry.

The structure belongs to space group P6/mmm (No. 191); the cell edges are 4.5110, 4.5110 and 2.8127 Å and the angles 90.00°, 90.00° and 120.00°. The asymmetric unit holds Sc at (0.3333, 0.6667, 0.0000) and P at (0.0000, 0.0000, 0.5000).

The calculation puts the total energy at -0.235 hartree per atom. The formation energy comes out at -0.0707 eV/atom.



VASP calculation (GGA-PBEsol) on crystalline ScP2 at its relaxed geometry.

The structure belongs to space group Cmcm (No. 63); the cell edges are 3.5771, 14.2139 and 3.6954 Å and the angles 90.00°, 90.00° and 90.00°. The asymmetric unit holds Sc at (0.0000, 0.1070, 0.2500), P at (0.0000, 0.2496, 0.7500) and P at (0.0000, 0.4528, 0.2500).

The calculation puts the total energy at -0.256 hartree per atom. The formation energy comes out at -0.8942 eV/atom.



VASP calculation (GGA-PBEsol) on crystalline Sc3P at its relaxed geometry.

The structure belongs to space group Pmm2 (No. 25); the cell edges are 3.5469, 4.1316 and 5.2873 Å and the angles 90.00°, 90.00° and 90.00°. The asymmetric unit holds Sc at (0.0000, 0.0000, 0.0000), Sc at (0.0000, 0.5000, 0.4296), Sc at (0.5000, 0.5000, 0.8618) and P at (0.5000, 0.0000, 0.5508).

The calculation puts the total energy at -0.254 hartree per atom. The value obtained for the relative energy among the computed polymorphs is 351 meV per atom. The formation energy comes out at -0.4965 eV/atom.



VASP calculation (GGA-PBEsol) on crystalline Sc3P2 at its relaxed geometry.

The structure belongs to space group Pnma (No. 62); the cell edges are 10.0710, 3.6809 and 9.9065 Å and the angles 90.00°, 90.00° and 90.00°. The asymmetric unit holds Sc at (0.0462, 0.2500, 0.1319), Sc at (0.1247, 0.7500, 0.5620), Sc at (0.2234, 0.2500, 0.8006), P at (0.0102, 0.7500, 0.3186) and P at (0.1869, 0.7500, 0.9985).

The calculation puts the total energy at -0.279 hartree per atom. The formation energy comes out at -1.3083 eV/atom.



VASP calculation (GGA-PBEsol) on crystalline Sc3P at its relaxed geometry.

The structure belongs to space group Pnma (No. 62); the cell edges are 6.7769, 8.2844 and 5.6225 Å and the angles 90.00°, 90.00° and 90.00°. The asymmetric unit holds Sc at (0.0266, 0.2500, 0.1313), Sc at (0.1750, 0.0488, 0.6517) and P at (0.1222, 0.7500, 0.4278).

The calculation puts the total energy at -0.266 hartree per atom. The value obtained for the relative energy among the computed polymorphs is 0 meV per atom. The formation energy comes out at -0.8470 eV/atom.



VASP calculation (GGA-PBEsol) on crystalline Sc4P3 at its relaxed geometry.

The structure belongs to space group I4/mmm (No. 139); the cell edges are 3.5815, 3.5815 and 20.6677 Å and the angles 90.00°, 90.00° and 90.00°. The asymmetric unit holds Sc at (0.0000, 0.0000, 0.0650), Sc at (0.0000, 0.0000, 0.3091), P at (0.0000, 0.0000, 0.1841) and P at (0.0000, 0.0000, 0.5000).

The calculation puts the total energy at -0.273 hartree per atom. The formation energy comes out at -1.1720 eV/atom.



VASP calculation (GGA-PBEsol) on crystalline Sc2P at its relaxed geometry.

The structure belongs to space group Immm (No. 71); the cell edges are 3.5832, 5.3780 and 11.6456 Å and the angles 90.00°, 90.00° and 90.00°. The asymmetric unit holds Sc at (0.0000, 0.0000, 0.1998), Sc at (0.0000, 0.2391, 0.5000) and P at (0.0000, 0.5000, 0.1416).

The calculation puts the total energy at -0.271 hartree per atom. The formation energy comes out at -1.0292 eV/atom.